The following is a GGA+U calculation of crystalline CrPt3O at its relaxed geometry, from the Alexandria database.

The final energy is -5.67 eV per atom.

It has space group Pm-3m (No. 221), with a = 4.275 Å, b = 4.275 Å, c = 4.275 Å, α = 90.00°, β = 90.00° and γ = 90.00°. Symmetry generates all atoms from Cr at (0.000, 0.000, 0.000), Pt at (0.000, 0.500, 0.500) and O at (0.500, 0.500, 0.500).